(1)
The following is a PBE calculation of an optimized crystal structure of ZnRu3Pt, from the Alexandria database.

POSCAR file:
```
ZnRu3Pt
1.0
-0.189 4.349 0.826
-2.771 0.528 -3.417
-3.453 -0.662 2.697
Ru Zn Pt
3 1 1
direct
0.500 0.000 0.000
0.000 0.500 0.000
0.000 0.000 0.500
0.000 0.000 0.000
0.500 0.500 0.500
```

Energy = -5.40 eV/atom
Energy relative to the elements = 1.63 eV per atom

---

(2)
The following is a PBE calculation of an optimized crystal structure of AuSe2Br, from the Alexandria database.

POSCAR file:
```
AuSe2Br
1.0
-1.339 -0.260 -2.497
2.012 -1.803 -0.891
-6.649 -9.682 4.573
Se Br Au
2 1 1
direct
0.000 0.000 0.436
0.000 0.000 0.064
0.500 0.500 0.750
0.500 0.500 0.250
```

E_form (uncorrected) = 0.340 eV/atom
Energy = -2.64 eV/atom